First-principles (PBEsol) data for a relaxed CoO2 crystal, as listed in Alexandria via LeMat-Bulk.

Values from the calculation:
ΔE_f (raw) = -0.878 eV/atom
Total moment = 0.91 Bohr magnetons per cell
SG = No. 166

Cell: 5.116 5.116 5.116 Å, 31.57 31.57 31.57°
Atoms (fractional coordinates):
Co 0.000 0.000 0.000
O 0.397 0.397 0.397
O 0.603 0.603 0.603



First-principles (PBEsol) data for a relaxed CoO2 crystal, as listed in Alexandria via LeMat-Bulk.

Values from the calculation:
ΔE_f (raw) = -0.957 eV/atom
Total moment = 3.49 Bohr magnetons per cell
SG = No. 87

Cell: 6.783 6.783 6.783 Å, 92.46 92.46 156.07°
Atoms (fractional coordinates):
Co 0.151 0.335 0.485
Co 0.335 0.849 0.184
Co 0.665 0.151 0.816
Co 0.849 0.665 0.515
O 0.043 0.662 0.704
O 0.297 0.655 0.952
O 0.338 0.043 0.381
O 0.345 0.297 0.642
O 0.655 0.703 0.358
O 0.662 0.957 0.619
O 0.703 0.345 0.048
O 0.957 0.338 0.296



First-principles (PBEsol) data for a relaxed CoP2O7 crystal, as listed in Alexandria via LeMat-Bulk.

Values from the calculation:
ΔE_f (raw) = -1.673 eV/atom
Total moment = 4.12 Bohr magnetons per cell
SG = No. 14
E above lowest polymorph = 0.0 meV/atom

Cell: 6.701 7.617 9.053 Å, 90.00 108.90 90.00°
Atoms (fractional coordinates):
Co 0.222 0.224 0.008
Co 0.222 0.276 0.508
Co 0.778 0.724 0.492
Co 0.778 0.776 0.992
P 0.031 0.596 0.294
P 0.031 0.904 0.794
P 0.433 0.036 0.796
P 0.433 0.464 0.296
P 0.567 0.536 0.704
P 0.567 0.964 0.204
P 0.969 0.096 0.206
P 0.969 0.404 0.706
O 0.022 0.248 0.112
O 0.022 0.252 0.612
O 0.024 0.083 0.870
O 0.024 0.417 0.370
O 0.108 0.089 0.377
O 0.108 0.411 0.877
O 0.271 0.620 0.297
O 0.271 0.880 0.797
O 0.347 0.048 0.150
O 0.347 0.452 0.650
O 0.401 0.106 0.632
O 0.401 0.394 0.132
O 0.416 0.184 0.907
O 0.416 0.316 0.407
O 0.584 0.684 0.593
O 0.584 0.816 0.093
O 0.599 0.606 0.868
O 0.599 0.894 0.368
O 0.653 0.548 0.350
O 0.653 0.952 0.850
O 0.729 0.120 0.203
O 0.729 0.380 0.703
O 0.892 0.589 0.123
O 0.892 0.911 0.623
O 0.976 0.583 0.630
O 0.976 0.917 0.130
O 0.978 0.748 0.388
O 0.978 0.752 0.888



First-principles (PBEsol) data for a relaxed CoP2O7 crystal, as listed in Alexandria via LeMat-Bulk.

Values from the calculation:
ΔE_f (raw) = -1.671 eV/atom
Total moment = 4.12 Bohr magnetons per cell
SG = No. 15
E above lowest polymorph = 2.4 meV/atom

Cell: 6.034 6.034 12.750 Å, 105.01 105.01 81.11°
Atoms (fractional coordinates):
Co 0.077 0.623 0.854
Co 0.377 0.923 0.646
Co 0.623 0.077 0.354
Co 0.923 0.377 0.146
P 0.079 0.169 0.928
P 0.169 0.079 0.428
P 0.245 0.426 0.637
P 0.426 0.245 0.137
P 0.574 0.755 0.863
P 0.755 0.574 0.363
P 0.831 0.921 0.572
P 0.921 0.831 0.072
O 0.012 0.936 0.852
O 0.055 0.534 0.700
O 0.064 0.988 0.648
O 0.101 0.700 0.006
O 0.107 0.308 0.515
O 0.132 0.312 0.856
O 0.235 0.414 0.180
O 0.300 0.899 0.494
O 0.308 0.107 0.015
O 0.312 0.132 0.356
O 0.382 0.604 0.623
O 0.396 0.618 0.877
O 0.414 0.235 0.680
O 0.466 0.945 0.800
O 0.534 0.055 0.200
O 0.586 0.765 0.320
O 0.604 0.382 0.123
O 0.618 0.396 0.377
O 0.688 0.868 0.644
O 0.692 0.893 0.985
O 0.700 0.101 0.506
O 0.765 0.586 0.820
O 0.868 0.688 0.144
O 0.893 0.692 0.485
O 0.899 0.300 0.994
O 0.936 0.012 0.352
O 0.945 0.466 0.300
O 0.988 0.064 0.148